RbInWF6 after structural relaxation, computed with PBE+U.

Unit cell a=6.8721 b=6.8721 c=8.4801 alpha=90.00 beta=90.00 gamma=120.00
Space group P-31c (No. 163)
Inequivalent atoms, fractional coordinates:
Rb1 0.3333 0.6667 0.2500 x2
In1 0.0000 0.0000 0.0000 x2
W1 0.3333 0.6667 0.7500 x2
F1 0.0904 0.4148 0.6206 x12

Output
total magnetic moment = 4.0 μB per cell
E_tot = -88.48 eV/cell
volume = 19.27 Å³ per atom

***

Rb2InWF after structural relaxation, computed with PBE+U.

Unit cell a=5.1247 b=5.1247 c=6.4933 alpha=90.00 beta=90.00 gamma=90.00
Space group P4/mmm (No. 123)
Inequivalent atoms, fractional coordinates:
Rb1 0.0000 0.5000 0.0000 x2
In1 0.0000 0.0000 0.5000 x1
W1 0.5000 0.5000 0.5000 x1
F1 0.5000 0.5000 0.0000 x1

Output
total magnetic moment = 4.4 μB per cell
E_tot = -14.35 eV/cell
volume = 34.11 Å³ per atom

***

RbIn2WF8 after structural relaxation, computed with PBE+U.

Unit cell a=5.1545 b=6.0236 c=7.1435 alpha=92.81 beta=91.35 gamma=90.61
Space group P-1 (No. 2)
Inequivalent atoms, fractional coordinates:
Rb1 0.0000 0.0000 0.0000 x1
In1 0.4925 0.4861 0.7346 x2
W1 0.0000 0.0000 0.5000 x1
F1 0.1216 0.7557 0.6602 x2
F2 0.1371 0.2480 0.6929 x2
F3 0.3172 0.9873 0.3486 x2
F4 0.4465 0.7034 0.9990 x2

Output
total magnetic moment = 2.0 μB per cell
E_tot = -57.50 eV/cell
volume = 18.45 Å³ per atom